Dy3Mg2Sc4: relaxed, PBE.

Output
Formation enthalpy at 0 K (eV/atom): 0.02
Electronic total energy (eV per atom): -4.68

Lattice parameters (Å, degrees): 4.620 7.672 7.453 107.29 108.06 90.00
Atoms (fractional coordinates):
Mg: 0.329 0.999 0.658
Mg: 0.671 0.001 0.342
Dy: 0.000 0.000 0.000
Dy: 0.112 0.660 0.223
Dy: 0.888 0.340 0.777
Sc: 0.780 0.662 0.559
Sc: 0.440 0.663 0.880
Sc: 0.560 0.337 0.120
Sc: 0.220 0.338 0.441